## a
The following is a GGA-PBE calculation of a geometry-optimized NdNbOs structure, from OQMD via LeMat-Bulk.

Lattice parameters (Å, degrees): 6.4825 6.4825 6.4825 90.00 90.00 90.00
Space group F-43m (No. 216)
Symmetry-distinct sites (fractional):
Nd 0.0000 0.0000 0.0000
Nb 0.2500 0.2500 0.7500
Os 0.2500 0.2500 0.2500


## b
The following is a GGA-PBE calculation of a geometry-optimized NdNbOs structure, from OQMD via LeMat-Bulk.

Lattice parameters (Å, degrees): 6.4618 6.4618 6.4618 90.00 90.00 90.00
Space group F-43m (No. 216)
Symmetry-distinct sites (fractional):
Nd 0.0000 0.0000 0.0000
Nb 0.2500 0.2500 0.2500
Os 0.0000 0.0000 0.5000


Order from most stable to least stable according to the calculation: b, a


## a
The following is a GGA-PBE calculation of a geometry-optimized NdTaNb structure, from OQMD via LeMat-Bulk.

Lattice parameters (Å, degrees): 6.6800 6.6800 6.6800 90.00 90.00 90.00
Space group F-43m (No. 216)
Symmetry-distinct sites (fractional):
Nd 0.0000 0.0000 0.0000
Ta 0.2500 0.2500 0.2500
Nb 0.2500 0.2500 0.7500


## b
The following is a GGA-PBE calculation of a geometry-optimized NdTaNb structure, from OQMD via LeMat-Bulk.

Lattice parameters (Å, degrees): 6.6948 6.6948 6.6948 90.00 90.00 90.00
Space group F-43m (No. 216)
Symmetry-distinct sites (fractional):
Nd 0.0000 0.0000 0.0000
Ta 0.0000 0.0000 0.5000
Nb 0.2500 0.2500 0.2500


Order from most stable to least stable according to the calculation: b, a